No. 1
# PBE-GGA PrHoPd, relaxed
# Spin magnetization in μB/cell: 0.00
# Calculated formation energy in meV/atom: -387.1
# Space-group type: P3m1, No. 156
# Raw total energy in eV/atom: -5.24
data_PrHoPd
_chemical_formula_sum 'Pr1 Ho1 Pd1'
_space_group_name_H-M_alt 'P 1'
_space_group_IT_number 1
_space_group_name_Hall 'P 1'
_cell_length_a 4.054
_cell_length_b 4.793
_cell_length_c 4.793
_cell_angle_alpha 120.00
_cell_angle_beta 90.00
_cell_angle_gamma 90.00
loop_
_atom_site_label
_atom_site_type_symbol
_atom_site_fract_x
_atom_site_fract_y
_atom_site_fract_z
Pr1 Pr 0.631 0.667 0.333
Pd1 Pd 0.262 0.333 0.667
Ho1 Ho 0.107 0.000 0.000

No. 2
# PBE-GGA Pr2HoPd4, relaxed
# Spin magnetization in μB/cell: 0.00
# Calculated formation energy in meV/atom: -305.5
# Space-group type: Fmmm, No. 69
# Raw total energy in eV/atom: -5.29
data_Pr2HoPd4
_chemical_formula_sum 'Pr2 Ho1 Pd4'
_space_group_name_H-M_alt 'P 1'
_space_group_IT_number 1
_space_group_name_Hall 'P 1'
_cell_length_a 5.148
_cell_length_b 5.148
_cell_length_c 8.231
_cell_angle_alpha 102.10
_cell_angle_beta 102.10
_cell_angle_gamma 109.26
loop_
_atom_site_label
_atom_site_type_symbol
_atom_site_fract_x
_atom_site_fract_y
_atom_site_fract_z
Pd1 Pd 0.823 0.823 0.646
Pd2 Pd 0.000 0.500 0.000
Pd3 Pd 0.177 0.177 0.354
Pd4 Pd 0.500 0.000 0.000
Ho1 Ho 0.000 0.000 0.000
Pr1 Pr 0.636 0.636 0.272
Pr2 Pr 0.364 0.364 0.728

No. 3
# PBE-GGA Pr2HoPd2, relaxed
# Spin magnetization in μB/cell: 0.00
# Calculated formation energy in meV/atom: -648.2
# Space-group type: P4/mbm, No. 127
# Raw total energy in eV/atom: -5.55
data_Pr2HoPd2
_chemical_formula_sum 'Pr4 Ho2 Pd4'
_space_group_name_H-M_alt 'P 1'
_space_group_IT_number 1
_space_group_name_Hall 'P 1'
_cell_length_a 4.106
_cell_length_b 7.955
_cell_length_c 7.955
_cell_angle_alpha 90.00
_cell_angle_beta 90.00
_cell_angle_gamma 90.00
loop_
_atom_site_label
_atom_site_type_symbol
_atom_site_fract_x
_atom_site_fract_y
_atom_site_fract_z
Ho1 Ho 0.000 0.000 0.000
Ho2 Ho 0.000 0.500 0.500
Pd1 Pd 0.000 0.370 0.870
Pd2 Pd 0.000 0.630 0.130
Pd3 Pd 0.000 0.130 0.370
Pd4 Pd 0.000 0.870 0.630
Pr1 Pr 0.500 0.169 0.669
Pr2 Pr 0.500 0.831 0.331
Pr3 Pr 0.500 0.669 0.831
Pr4 Pr 0.500 0.331 0.169